A crystal of InAgW2 relaxed with PBEsol, computed with meta-GGA SCAN.

Properties
formation enthalpy at 0 K	0.56	eV/atom
uncorrected energy	-50.471	eV/atom
mass density	14.4	g/cm³

Lattice parameters (Å, degrees): 2.8447 2.8447 29.1922 90.00 90.00 120.00
Space group R3m (No. 160, hexagonal axes)
Inequivalent atoms, fractional coordinates:
In: 0.0000 0.0000 0.0000
Ag: 0.0000 0.0000 0.2472
W: 0.0000 0.0000 0.4983
W: 0.0000 0.0000 0.7513